SrGe2Ru2 | PBEsol | relaxed

N(E_F) = 4.2 states/eV/cell
Electronic total energy = -69.0 eV/cell
Crystal system = tetragonal

a = 4.2824 Å, b = 4.2824 Å, c = 10.1876 Å
α = 90.00°, β = 90.00°, γ = 90.00°
With the nearest neighbours (Å) after each atom.
Space group I4/mmm (No. 139)
Unique sites:
Sr 0.0000 0.0000 0.0000  8 Ru 3.33, 10 Ge 3.34-3.68
Ge 0.0000 0.0000 0.3617  4 Ru 2.42
Ru 0.0000 0.5000 0.2500  4 Ge 2.42